Hf2BeW: relaxed, PBE.

For the density of states at the Fermi level, the calculation gives 0.635 states/eV per atom. The value obtained for the formation energy is 0.62 eV/atom. For the calculated volume, the calculation gives 17.90 Å³/atom.

The space group is I-42d (No. 122) and the conventional cell measures 7.291, 7.291 and 5.389 Å, with angles of 90.00, 90.00 and 90.00 degrees. Symmetry generates all atoms from Hf at (0.228, 0.250, 0.125), Be at (0.000, 0.000, 0.000) and W at (0.000, 0.000, 0.500).

HfBe10W: relaxed, PBE.

For the density of states at the Fermi level, the calculation gives 0.200 states/eV per atom. The value obtained for the formation energy is -0.17 eV/atom. For the calculated volume, the calculation gives 9.55 Å³/atom.

The space group is Pmmm (No. 47) and the conventional cell measures 3.380, 4.412 and 7.688 Å, with angles of 90.00, 90.00 and 90.00 degrees. Symmetry generates all atoms from Hf at (0.000, 0.000, 0.000), Be at (0.000, 0.000, 0.345), Be at (0.000, 0.500, 0.178), Be at (0.500, 0.000, 0.500), Be at (0.500, 0.255, 0.261), Be at (0.500, 0.500, 0.000) and W at (0.000, 0.500, 0.500).

HfBeW2: relaxed, PBE.

For the density of states at the Fermi level, the calculation gives 0.757 states/eV per atom. The value obtained for the formation energy is 0.66 eV/atom. For the calculated volume, the calculation gives 17.05 Å³/atom.

The space group is I-42d (No. 122) and the conventional cell measures 3.760, 3.760 and 19.296 Å, with angles of 90.00, 90.00 and 90.00 degrees. Symmetry generates all atoms from Hf at (0.000, 0.000, 0.000), Be at (0.000, 0.000, 0.500) and W at (0.239, 0.250, 0.625).

YHfBe2W: relaxed, PBE.

The energy above the most stable polymorph in this dataset is 3.47 eV per formula unit. For the density of states at the Fermi level, the calculation gives 0.892 states/eV per atom. The value obtained for the formation energy is 1.95 eV/atom. For the calculated volume, the calculation gives 20.16 Å³/atom.

The space group is P4/mmm (No. 123) and the conventional cell measures 4.533, 4.533 and 4.904 Å, with angles of 90.00, 90.00 and 90.00 degrees. Symmetry generates all atoms from Y at (0.000, 0.000, 0.000), Hf at (0.500, 0.500, 0.500), Be at (0.000, 0.500, 0.000) and W at (0.000, 0.000, 0.500).

YHfBe2W: relaxed, PBE.

The energy above the most stable polymorph in this dataset is 0.00 eV per formula unit. For the density of states at the Fermi level, the calculation gives 0.796 states/eV per atom. The value obtained for the formation energy is 1.26 eV/atom. For the calculated volume, the calculation gives 21.42 Å³/atom.

The space group is P4/mmm (No. 123) and the conventional cell measures 4.700, 4.700 and 4.849 Å, with angles of 90.00, 90.00 and 90.00 degrees. Symmetry generates all atoms from Y at (0.000, 0.000, 0.000), Hf at (0.500, 0.500, 0.500), Be at (0.000, 0.500, 0.500) and W at (0.500, 0.500, 0.000).

YHfBe2: relaxed, PBE.

The energy above the most stable polymorph in this dataset is 0.00 eV per formula unit. For the density of states at the Fermi level, the calculation gives 0.401 states/eV per atom. The value obtained for the formation energy is 0.00 eV/atom. For the calculated volume, the calculation gives 17.38 Å³/atom.

The space group is P4/mmm (No. 123) and the conventional cell measures 3.270, 3.270 and 6.502 Å, with angles of 90.00, 90.00 and 90.00 degrees. Symmetry generates all atoms from Y at (0.000, 0.000, 0.000), Hf at (0.000, 0.000, 0.500) and Be at (0.500, 0.500, 0.290).